Entry 1:
The following is a DFT calculation (meta-GGA SCAN) of a PBEsol-optimized structure of Hf2CrSbMo. Values from VASP.

Structure (Quantum ESPRESSO input):
```
&SYSTEM
  ibrav = 0, nat = 5, ntyp = 4
/
ATOMIC_SPECIES
Hf 178.49 Hf.upf
Cr 52.00 Cr.upf
Sb 121.76 Sb.upf
Mo 95.94 Mo.upf
ATOMIC_POSITIONS angstrom
Hf 2.478 0.000 0.000
Hf 0.000 2.478 0.000
Cr 2.478 2.478 2.524
Sb 0.000 0.000 2.524
Mo 0.000 0.000 0.000
CELL_PARAMETERS angstrom
4.956 0.000 0.000
0.000 4.956 0.000
0.000 0.000 5.049
```

Summary:
- space-group type = P4/mmm
- raw formation energy (meV/atom) = 819

***

Entry 2:
The following is a DFT calculation (meta-GGA SCAN) of a PBEsol-optimized structure of AlOsRu2. Values from VASP.

Structure (Quantum ESPRESSO input):
```
&SYSTEM
  ibrav = 0, nat = 4, ntyp = 3
/
ATOMIC_SPECIES
Ru 101.07 Ru.upf
Al 26.98 Al.upf
Os 190.23 Os.upf
ATOMIC_POSITIONS angstrom
Ru -1.752 0.333 1.426
Ru 1.902 0.087 1.261
Al -0.081 -1.347 0.215
Os 0.069 -0.928 2.902
CELL_PARAMETERS angstrom
-0.162 -2.695 0.430
3.804 0.173 2.522
-3.505 0.665 2.852
```

Summary:
- calculated formation energy (eV/f.u.) = -0.519
- space-group type = Cmmm

***

Entry 3:
The following is a DFT calculation (meta-GGA SCAN) of a PBEsol-optimized structure of Na6Bi2B4SO16. Values from VASP.

Structure (Quantum ESPRESSO input):
```
&SYSTEM
  ibrav = 0, nat = 58, ntyp = 5
/
ATOMIC_SPECIES
Na 22.99 Na.upf
Bi 208.98 Bi.upf
O 16.00 O.upf
B 10.81 B.upf
S 32.06 S.upf
ATOMIC_POSITIONS angstrom
Na -12.223 -11.433 3.449
Na -5.022 -9.377 2.700
Na -14.580 -14.369 1.488
Na -8.303 -6.684 2.611
Na -11.299 -17.062 1.576
Na -10.839 -13.210 -0.149
Na -8.942 -14.126 3.537
Na -8.763 -10.535 4.337
Na -10.660 -9.620 0.651
Na -7.379 -12.313 0.739
Na -6.918 -8.461 -0.987
Na -12.684 -15.284 5.174
Bi -4.778 -5.884 -1.925
Bi -1.960 -2.375 0.419
Bi -6.433 -3.760 2.376
Bi -2.511 -6.978 2.481
O -12.501 -8.181 0.146
O -11.085 -15.318 3.302
O -10.012 -10.077 -1.686
O -7.710 -10.422 -2.259
O -5.964 -5.969 2.283
O -4.371 -7.460 1.289
O -3.634 -8.050 4.125
O -7.322 -12.537 4.291
O -8.518 -8.428 0.886
O -12.173 -14.792 1.186
O -10.705 -7.009 3.070
O -10.657 -11.587 5.350
O -7.429 -8.953 3.002
O -10.333 -8.677 4.751
O -7.904 -14.566 1.342
O -8.945 -12.159 -1.162
O -8.684 -5.450 4.624
O -2.948 -10.554 2.533
O -12.968 -13.772 3.251
O -10.820 -13.107 2.312
O -6.635 -9.973 0.937
O -4.908 -8.120 -2.236
O -5.283 -11.277 4.252
O -7.795 -7.530 -3.006
O -11.698 -9.180 2.845
O -8.003 -10.757 6.593
O -5.999 -6.357 -0.083
O -8.782 -10.638 1.876
O -8.488 -4.461 1.749
O -12.280 -11.208 -0.103
O -5.749 -12.856 2.510
O -6.287 -13.516 -1.015
B -6.106 -12.242 3.698
B -13.496 -11.504 0.490
B -10.706 -12.851 5.913
B -10.933 -8.280 3.568
B -8.669 -15.465 0.620
B -14.174 -17.170 3.028
B -5.428 -6.576 1.160
B -8.896 -10.895 -1.725
S -11.761 -14.247 2.513
S -7.841 -9.498 1.675
CELL_PARAMETERS angstrom
-8.945 -2.770 3.914
-5.635 -7.019 -4.688
-1.102 -9.207 4.125
```

Summary:
- space-group type = Fd-3
- raw formation energy (meV/atom) = -2021

***

Entry 4:
The following is a DFT calculation (meta-GGA SCAN) of a PBEsol-optimized structure of PbCl2. Values from VASP.

Structure (Quantum ESPRESSO input):
```
&SYSTEM
  ibrav = 0, nat = 6, ntyp = 2
/
ATOMIC_SPECIES
Cl 35.45 Cl.upf
Pb 207.20 Pb.upf
ATOMIC_POSITIONS angstrom
Cl 0.000 3.861 3.320
Cl 1.998 0.454 5.390
Cl 1.998 1.284 1.925
Cl 1.998 4.992 0.527
Pb 0.000 -0.402 3.302
Pb 0.000 2.970 0.547
CELL_PARAMETERS angstrom
3.996 0.000 0.000
-1.998 6.284 -0.001
0.000 -1.660 6.929
```

Summary:
- space-group type = C2/m
- raw formation energy (meV/atom) = -1197

***

Entry 5:
The following is a DFT calculation (meta-GGA SCAN) of a PBEsol-optimized structure of PC. Values from VASP.

Structure (Quantum ESPRESSO input):
```
&SYSTEM
  ibrav = 0, nat = 6, ntyp = 2
/
ATOMIC_SPECIES
P 30.97 P.upf
C 12.01 C.upf
ATOMIC_POSITIONS angstrom
P -2.873 -0.971 -1.132
P 0.000 0.000 0.000
P -2.885 1.045 1.030
C -2.300 -0.828 0.760
C -1.159 1.098 2.001
C -1.141 -1.926 -1.241
CELL_PARAMETERS angstrom
-1.158 1.731 -1.621
-2.282 -3.852 -2.483
-2.318 2.196 4.002
```

Summary:
- calculated formation energy (eV/f.u.) = 3.633
- space-group type = P6/mmm

***

Entry 6:
The following is a DFT calculation (meta-GGA SCAN) of a PBEsol-optimized structure of LaCu2Ag2. Values from VASP.

Structure (Quantum ESPRESSO input):
```
&SYSTEM
  ibrav = 0, nat = 5, ntyp = 3
/
ATOMIC_SPECIES
La 138.91 La.upf
Ag 107.87 Ag.upf
Cu 63.55 Cu.upf
ATOMIC_POSITIONS angstrom
La 0.000 0.000 0.000
Ag 2.007 0.000 2.878
Ag 0.000 2.007 2.878
Cu 2.007 2.007 1.189
Cu 0.000 0.000 4.568
CELL_PARAMETERS angstrom
4.014 0.000 0.000
0.000 4.014 0.000
-2.007 -2.007 5.757
```

Summary:
- calculated formation energy (eV/f.u.) = -0.762
- space-group type = I4/mmm

***

| no. | M_tot (μB/f.u.) |
| --- | --- |
| 1 | 4.4 |
| 2 | 0.0 |
| 3 | 2.0 |
| 4 | 0.0 |
| 5 | 0.0 |
| 6 | 0.0 |